[1]
Density functional theory data (PBE) for crystalline Zr2PtO at its relaxed geometry.

Properties
total moment = 0.00 μB/f.u.

POSCAR file:
```
Zr2PtO
1.0
3.3571 0.0000 0.0000
-1.6786 2.9073 0.0000
0.0000 0.0000 20.1411
Zr Pt O
6 3 3
Direct
0.0000 0.0000 0.2305
0.0000 0.0000 0.7695
0.3333 0.6667 0.4362
0.3333 0.6667 0.8972
0.6667 0.3333 0.1028
0.6667 0.3333 0.5638
0.0000 0.0000 0.0000
0.3333 0.6667 0.6667
0.6667 0.3333 0.3333
0.0000 0.0000 0.5000
0.3333 0.6667 0.1667
0.6667 0.3333 0.8333
```

***

[2]
Density functional theory data (PBE) for crystalline Pu3O at its relaxed geometry.

Properties
total moment = 18.12 μB/f.u.

POSCAR file:
```
Pu3O
1.0
4.3668 0.0000 0.0000
0.0000 4.3668 0.0000
0.0000 0.0000 4.3668
Pu O
3 1
Direct
0.0000 0.0000 0.5000
0.0000 0.5000 0.0000
0.5000 0.0000 0.0000
0.5000 0.5000 0.5000
```

***

[3]
Density functional theory data (PBE) for crystalline PuO at its relaxed geometry.

Properties
polymorph energy (0 for the lowest one) = 0.00 kcal/mol of atoms
total moment = 5.61 μB/f.u.

POSCAR file:
```
PuO
1.0
4.9796 0.0000 0.0000
0.0000 4.9796 0.0000
0.0000 0.0000 4.9796
Pu O
4 4
Direct
0.0000 0.0000 0.0000
0.0000 0.5000 0.5000
0.5000 0.0000 0.5000
0.5000 0.5000 0.0000
0.0000 0.0000 0.5000
0.0000 0.5000 0.0000
0.5000 0.0000 0.0000
0.5000 0.5000 0.5000
```

***

| no. | uncorrected formation energy (meV per atom) |
| --- | --- |
| 1 | -1464 |
| 2 | 8 |
| 3 | -2423 |